## a
{
  "formula": "Mg3AsOs",
  "functional": "PBE",
  "state": "relaxed",
  "space_group": "Pm-3m",
  "crystal_system": "cubic",
  "vol_a3_per_atom": 24.17,
  "lattice": [[4.944, 0.000, 0.000], [0.000, 4.944, 0.000], [0.000, 0.000, 4.944]],
  "species": ["Mg", "Mg", "Mg", "As", "Os"],
  "frac_coords": [[0.000, 0.000, 0.500], [0.000, 0.500, 0.000], [0.500, 0.000, 0.000], [0.500, 0.500, 0.500], [0.000, 0.000, 0.000]]
}

***

## b
{
  "formula": "Mg3AsOs",
  "functional": "PBE",
  "state": "relaxed",
  "space_group": "Pm-3m",
  "crystal_system": "cubic",
  "vol_a3_per_atom": 22.76,
  "lattice": [[4.846, 0.000, 0.000], [0.000, 4.846, 0.000], [0.000, 0.000, 4.846]],
  "species": ["Mg", "Mg", "Mg", "As", "Os"],
  "frac_coords": [[0.000, 0.000, 0.500], [0.000, 0.500, 0.000], [0.500, 0.000, 0.000], [0.000, 0.000, 0.000], [0.500, 0.500, 0.500]]
}

***

The energetic minimum among the shown structures is a; the next structure lies 14.1 kJ/mol of atoms above.